1.
The following is a GGA-PBE calculation of LiYIn2I6 after structural relaxation, from the Alexandria database.

Calculated volume ... 41.46 Å³/atom
Raw formation energy ... -0.961 eV per atom
Total magnetic moment ... 0.000 μB/cell
Space-group type ... R3, No. 146
E_tot ... -3.276 eV per atom

abc: 8.2994 8.3022 8.4408
angles: 60.53 60.55 59.99
Last column: nearest neighbours and their distance in Å.
Fractional positions:
Li1 0.8157 0.8160 0.5526  6 I 2.97-3.17
Y1 0.3235 0.3236 0.0293  6 I 3.03-3.06
In1 0.5316 0.5315 0.4053  6 I 3.50-3.55
In2 0.0257 0.0256 0.9230  6 I 3.46-3.55
I1 0.5797 0.1626 0.2698  1 Y 3.03, 1 Li 3.16
I2 0.1625 0.9879 0.2700  1 Y 3.03, 1 Li 3.17
I3 0.9880 0.5796 0.2699  1 Y 3.03, 1 Li 3.17
I4 0.4806 0.6664 0.7649  1 Li 2.98, 1 Y 3.06
I5 0.6664 0.0878 0.7652  1 Li 2.97, 1 Y 3.06
I6 0.0878 0.4806 0.7651  1 Li 2.97, 1 Y 3.06

=====

2.
The following is a GGA-PBE calculation of LiZnIn2I5 after structural relaxation, from the Alexandria database.

Calculated volume ... 37.43 Å³/atom
Raw formation energy ... -0.654 eV per atom
Total magnetic moment ... 0.000 μB/cell
Space-group type ... Cmc2_1, No. 36
E_tot ... -2.478 eV per atom

abc: 4.3747 10.7190 14.6754
angles: 90.00 90.00 101.77
Last column: nearest neighbours and their distance in Å.
Fractional positions:
Li1 0.7895 0.5791 0.5342  5 I 2.84-3.13
Li2 0.2105 0.4209 0.0342  5 I 2.84-3.13
Zn1 0.5635 0.1270 0.9203  4 I 2.59-2.71
Zn2 0.4365 0.8730 0.4203  4 I 2.59-2.71
In1 0.8700 0.7400 0.8272  7 I 3.52-3.94
In2 0.1413 0.2826 0.6829  3 I 3.33-3.34
In3 0.1300 0.2600 0.3272  7 I 3.52-3.94
In4 0.8587 0.7174 0.1829  3 I 3.33-3.34
I1 0.3450 0.6900 0.0118  1 Li 2.84
I2 0.6868 0.3735 0.8859  1 Zn 2.64
I3 0.4970 0.9940 0.7713  1 Zn 2.59
I4 0.2996 0.5993 0.6670  2 Li 2.94
I5 0.9609 0.9218 0.5233  2 Zn 2.71
I6 0.6550 0.3100 0.5118  1 Li 2.84
I7 0.3132 0.6265 0.3859  1 Zn 2.64
I8 0.5030 0.0060 0.2713  1 Zn 2.59
I9 0.7004 0.4007 0.1670  2 Li 2.94
I10 0.0391 0.0782 0.0233  2 Zn 2.71

=====

3.
The following is a GGA-PBE calculation of LiZrInI6 after structural relaxation, from the Alexandria database.

Calculated volume ... 41.56 Å³/atom
Raw formation energy ... -0.861 eV per atom
Total magnetic moment ... 0.000 μB/cell
Space-group type ... P-31c, No. 163
E_tot ... -3.361 eV per atom

abc: 7.6267 7.6267 14.8518
angles: 90.00 90.00 120.00
Last column: nearest neighbours and their distance in Å.
Fractional positions:
Li1 0.3333 0.6667 0.2500  6 I 3.00
Li2 0.6667 0.3333 0.7500  6 I 3.00
Zr1 0.6667 0.3333 0.2500  6 I 2.89
Zr2 0.3333 0.6667 0.7500  6 I 2.89
In1 0.0000 0.0000 0.0000  6 I 3.47
In2 0.0000 0.0000 0.5000  6 I 3.47
I1 0.6376 0.6266 0.1375  1 Zr 2.89, 1 Li 3.00
I2 0.9890 0.3624 0.1375  1 Zr 2.89, 1 Li 3.00
I3 0.3624 0.9890 0.6375  1 Zr 2.89, 1 Li 3.00
I4 0.0110 0.6376 0.8625  1 Zr 2.89, 1 Li 3.00
I5 0.3734 0.3624 0.3625  1 Zr 2.89, 1 Li 3.00
I6 0.9890 0.6266 0.3625  1 Zr 2.89, 1 Li 3.00
I7 0.6266 0.9890 0.8625  1 Zr 2.89, 1 Li 3.00
I8 0.6376 0.0110 0.3625  1 Zr 2.89, 1 Li 3.00
I9 0.0110 0.3734 0.6375  1 Zr 2.89, 1 Li 3.00
I10 0.3734 0.0110 0.1375  1 Zr 2.89, 1 Li 3.00
I11 0.6266 0.6376 0.6375  1 Zr 2.89, 1 Li 3.00
I12 0.3624 0.3734 0.8625  1 Zr 2.89, 1 Li 3.00

=====

4.
The following is a GGA-PBE calculation of MgInI after structural relaxation, from the Alexandria database.

Calculated volume ... 33.88 Å³/atom
Raw formation energy ... -0.246 eV per atom
Total magnetic moment ... 0.000 μB/cell
Space-group type ... Amm2, No. 38
E_tot ... -2.207 eV per atom

abc: 3.9178 3.8683 15.5542
angles: 90.00 90.00 120.42
Last column: nearest neighbours and their distance in Å.
Fractional positions:
Mg1 0.5566 0.1132 0.0000  6 I 2.93
Mg2 0.3297 0.6594 0.5000  6 In 3.15-3.17
In1 0.6694 0.3387 0.3572  3 Mg 3.15-3.17
In2 0.6694 0.3387 0.6428  3 Mg 3.15-3.17
I1 0.2208 0.4416 0.8788  3 Mg 2.93
I2 0.2208 0.4416 0.1212  3 Mg 2.93

=====

5.
The following is a GGA-PBE calculation of MgInI4 after structural relaxation, from the Alexandria database.

Calculated volume ... 40.64 Å³/atom
Raw formation energy ... -0.711 eV per atom
Total magnetic moment ... 0.000 μB/cell
Space-group type ... P2/m, No. 10
E_tot ... -2.467 eV per atom

abc: 4.2653 7.9541 7.6803
angles: 110.63 90.00 90.00
Last column: nearest neighbours and their distance in Å.
Fractional positions:
Mg1 0.5000 0.5000 0.0000  6 I 2.96
In1 0.0000 0.5000 0.5000  6 I 3.14-3.17
I1 0.0000 0.2723 0.7658  2 Mg 2.96, 1 In 3.17
I2 0.0000 0.7277 0.2342  2 Mg 2.96, 1 In 3.17
I3 0.5000 0.2611 0.2207  1 Mg 2.96, 2 In 3.14
I4 0.5000 0.7389 0.7793  1 Mg 2.96, 2 In 3.14

=====

6.
The following is a GGA-PBE calculation of MgIn2I4 after structural relaxation, from the Alexandria database.

Calculated volume ... 42.21 Å³/atom
Raw formation energy ... -0.658 eV per atom
Energy above the lowest structure with this stoichiometry ... 0.0000 eV per atom
Total magnetic moment ... 0.000 μB/cell
Space-group type ... P2/m, No. 10
E_tot ... -2.554 eV per atom

abc: 4.2700 7.5766 9.8485
angles: 111.98 90.00 90.00
Last column: nearest neighbours and their distance in Å.
Fractional positions:
Mg1 0.0000 0.0715 0.0000  6 I 2.95-2.99
In1 0.5000 0.8355 0.5634  3 I 3.21-3.26
In2 0.5000 0.3074 0.4367  3 I 3.21-3.26
I1 0.5000 0.7865 0.8780  2 Mg 2.95, 1 In 3.26
I2 0.0000 0.1622 0.7297  1 Mg 2.99, 2 In 3.21
I3 0.5000 0.3565 0.1222  2 Mg 2.95, 1 In 3.26
I4 0.0000 0.9807 0.2704  1 Mg 2.99, 2 In 3.21

=====

7.
The following is a GGA-PBE calculation of MgIn2I after structural relaxation, from the Alexandria database.

Calculated volume ... 31.42 Å³/atom
Raw formation energy ... 0.092 eV per atom
Total magnetic moment ... 0.000 μB/cell
Space-group type ... Fm-3m, No. 225
E_tot ... -2.064 eV per atom

abc: 5.6222 5.6222 5.6222
angles: 60.00 60.00 60.00
Last column: nearest neighbours and their distance in Å.
Fractional positions:
I1 0.5000 0.5000 0.5000  8 In 3.44
Mg1 0.0000 0.0000 0.0000  8 In 3.44
In1 0.2500 0.2500 0.2500  4 I 3.44, 4 Mg 3.44
In2 0.7500 0.7500 0.7500  4 Mg 3.44, 4 I 3.44

=====

8.
The following is a GGA-PBE calculation of Mg2InI2 after structural relaxation, from the Alexandria database.

Calculated volume ... 31.61 Å³/atom
Raw formation energy ... -0.209 eV per atom
Energy above the lowest structure with this stoichiometry ... 0.0000 eV per atom
Total magnetic moment ... 0.000 μB/cell
Space-group type ... P4/mbm, No. 127
E_tot ... -2.015 eV per atom

abc: 8.0432 8.0432 4.8856
angles: 90.00 90.00 90.00
Last column: nearest neighbours and their distance in Å.
Fractional positions:
I1 0.1900 0.6900 0.5000  2 Mg 3.12
I2 0.6900 0.8100 0.5000  2 Mg 3.12
I3 0.8100 0.3100 0.5000  2 Mg 3.12
I4 0.3100 0.1900 0.5000  2 Mg 3.12
Mg1 0.3611 0.8611 0.0000  2 In 3.11, 2 I 3.12, 1 Mg 3.16
Mg2 0.8611 0.6389 0.0000  2 In 3.11, 2 I 3.12, 1 Mg 3.16
Mg3 0.6389 0.1389 0.0000  2 In 3.11, 2 I 3.12, 1 Mg 3.16
Mg4 0.1389 0.3611 0.0000  2 In 3.11, 2 I 3.12, 1 Mg 3.16
In1 0.0000 0.0000 0.0000  4 Mg 3.11
In2 0.5000 0.5000 0.0000  4 Mg 3.11